P | The following is a PBE-GGA calculation of Gd2DyAl after structural relaxation, from Alexandria via LeMat-Bulk.

Cell lengths 3.513, 3.513, 9.147 Å; angles 90.00, 90.00, 90.00 degrees
Space group P4/mmm (No. 123)
Unique sites:
Gd1 0.000 0.000 0.216 (multiplicity 2)
Dy1 0.500 0.500 0.500 (multiplicity 1)
Al1 0.500 0.500 0.000 (multiplicity 1)

Values from the calculation:
The calculation puts the density of states at the Fermi level at 4.79 states/eV/f.u.


Q | The following is a PBE-GGA calculation of Gd2DyAl after structural relaxation, from Alexandria via LeMat-Bulk.

Cell lengths 4.761, 4.761, 4.819 Å; angles 90.00, 90.00, 90.00 degrees
Space group P4/mmm (No. 123)
Unique sites:
Gd1 0.000 0.500 0.000 (multiplicity 2)
Dy1 0.000 0.000 0.500 (multiplicity 1)
Al1 0.500 0.500 0.500 (multiplicity 1)

Values from the calculation:
The calculation puts the density of states at the Fermi level at 3.41 states/eV/f.u.


R | The following is a PBE-GGA calculation of Gd2DyAl after structural relaxation, from Alexandria via LeMat-Bulk.

Cell lengths 7.591, 7.591, 7.591 Å; angles 90.00, 90.00, 90.00 degrees
Space group Fm-3m (No. 225)
Unique sites:
Gd1 0.250 0.250 0.250 (multiplicity 8)
Dy1 0.000 0.000 0.000 (multiplicity 4)
Al1 0.000 0.000 0.500 (multiplicity 4)

Values from the calculation:
The calculation puts the density of states at the Fermi level at 5.02 states/eV/f.u.


Quick one: most stable of them? Q


P | The following is a PBE-GGA calculation of Dy2Al2Ge3 after structural relaxation, from Alexandria via LeMat-Bulk.

Cell lengths 15.137, 4.179, 11.762 Å; angles 90.00, 126.58, 90.00 degrees
Space group C2/m (No. 12)
Unique sites:
Dy1 0.096 0.000 0.443 (multiplicity 4)
Dy2 0.232 0.000 0.837 (multiplicity 4)
Al1 0.051 0.500 0.810 (multiplicity 4)
Al2 0.097 0.000 0.166 (multiplicity 4)
Ge1 0.093 0.500 0.624 (multiplicity 4)
Ge2 0.115 0.000 0.964 (multiplicity 4)
Ge3 0.166 0.500 0.323 (multiplicity 4)

Values from the calculation:
The calculation puts the density of states at the Fermi level at 3.35 states/eV/f.u.


Q | The following is a PBE-GGA calculation of Dy2Al2Ge3 after structural relaxation, from Alexandria via LeMat-Bulk.

Cell lengths 10.546, 4.361, 7.643 Å; angles 90.00, 116.86, 90.00 degrees
Space group C2/m (No. 12)
Unique sites:
Dy1 0.068 0.000 0.284 (multiplicity 4)
Al1 0.191 0.500 0.869 (multiplicity 4)
Ge1 0.000 0.500 0.000 (multiplicity 2)
Ge2 0.216 0.000 0.711 (multiplicity 4)

Values from the calculation:
The calculation puts the density of states at the Fermi level at 3.35 states/eV/f.u.


Quick one: most stable of them? P


P | The following is a PBE-GGA calculation of PmDyAlGe after structural relaxation, from Alexandria via LeMat-Bulk.

Cell lengths 7.290, 7.290, 7.290 Å; angles 90.00, 90.00, 90.00 degrees
Space group F-43m (No. 216)
Unique sites:
Pm1 0.000 0.000 0.000 (multiplicity 4)
Dy1 0.000 0.000 0.500 (multiplicity 4)
Al1 0.250 0.250 0.250 (multiplicity 4)
Ge1 0.250 0.250 0.750 (multiplicity 4)

Values from the calculation:
The calculation puts the density of states at the Fermi level at 2.49 states/eV/f.u.


Q | The following is a PBE-GGA calculation of PmDyAlGe after structural relaxation, from Alexandria via LeMat-Bulk.

Cell lengths 4.060, 4.415, 11.086 Å; angles 90.00, 90.00, 90.00 degrees
Space group Amm2 (No. 38)
Unique sites:
Pm1 0.000 0.000 0.000 (multiplicity 2)
Dy1 0.500 0.000 0.718 (multiplicity 2)
Al1 0.500 0.000 0.429 (multiplicity 2)
Ge1 0.000 0.000 0.280 (multiplicity 2)

Values from the calculation:
The calculation puts the density of states at the Fermi level at 3.33 states/eV/f.u.


Quick one: most stable of them? Q


P | The following is a PBE-GGA calculation of DyHf3Al8 after structural relaxation, from Alexandria via LeMat-Bulk.

Cell lengths 5.3152, 5.3152, 8.8398 Å; angles 90.00, 90.00, 120.00 degrees
Space group P3m1 (No. 156)
Unique sites:
Dy1 0.0000 0.0000 0.0000 (multiplicity 1)
Hf1 0.0000 0.0000 0.3725 (multiplicity 1)
Hf2 0.6667 0.3333 0.5010 (multiplicity 1)
Hf3 0.6667 0.3333 0.8611 (multiplicity 1)
Al1 0.1627 0.3255 0.6807 (multiplicity 3)
Al2 0.3333 0.6667 0.4370 (multiplicity 1)
Al3 0.3333 0.6667 0.9337 (multiplicity 1)
Al4 0.5040 0.0081 0.1916 (multiplicity 3)

Values from the calculation:
The calculation puts the density of states at the Fermi level at 5.25 states/eV/f.u.


Q | The following is a PBE-GGA calculation of DyHf3Al8 after structural relaxation, from Alexandria via LeMat-Bulk.

Cell lengths 5.3440, 5.3440, 26.2463 Å; angles 90.00, 90.00, 120.00 degrees
Space group R3m (No. 160, hexagonal axes)
Unique sites:
Dy1 0.0000 0.0000 0.0000 (multiplicity 3)
Hf1 0.0000 0.0000 0.3777 (multiplicity 3)
Hf2 0.0000 0.0000 0.4993 (multiplicity 3)
Hf3 0.0000 0.0000 0.8735 (multiplicity 3)
Al1 0.0000 0.0000 0.1872 (multiplicity 3)
Al2 0.0000 0.0000 0.6879 (multiplicity 3)
Al3 0.0016 0.5008 0.4389 (multiplicity 9)
Al4 0.1671 0.3341 0.2690 (multiplicity 9)

Values from the calculation:
The calculation puts the density of states at the Fermi level at 2.71 states/eV/f.u.


Quick one: most stable of them? Q


P | The following is a PBE-GGA calculation of Dy2HfAl after structural relaxation, from Alexandria via LeMat-Bulk.

Cell lengths 3.2618, 3.2618, 33.8907 Å; angles 90.00, 90.00, 120.00 degrees
Space group R-3m (No. 166, hexagonal axes)
Unique sites:
Dy1 0.0000 0.0000 0.0956 (multiplicity 6)
Hf1 0.0000 0.0000 0.0000 (multiplicity 3)
Al1 0.0000 0.0000 0.5000 (multiplicity 3)

Values from the calculation:
The calculation puts the density of states at the Fermi level at 5.25 states/eV/f.u.


Q | The following is a PBE-GGA calculation of Dy2HfAl after structural relaxation, from Alexandria via LeMat-Bulk.

Cell lengths 4.571, 4.571, 4.627 Å; angles 90.00, 90.00, 90.00 degrees
Space group P4/mmm (No. 123)
Unique sites:
Dy1 0.000 0.500 0.000 (multiplicity 2)
Hf1 0.000 0.000 0.500 (multiplicity 1)
Al1 0.500 0.500 0.500 (multiplicity 1)

Values from the calculation:
The calculation puts the density of states at the Fermi level at 2.85 states/eV/f.u.


Quick one: most stable of them? Q


P | The following is a PBE-GGA calculation of Dy3HfAl8 after structural relaxation, from Alexandria via LeMat-Bulk.

Cell lengths 5.4581, 5.4581, 9.0714 Å; angles 90.00, 90.00, 120.00 degrees
Space group P3m1 (No. 156)
Unique sites:
Dy1 0.0000 0.0000 0.0000 (multiplicity 1)
Dy2 0.0000 0.0000 0.3670 (multiplicity 1)
Dy3 0.3333 0.6667 0.8618 (multiplicity 1)
Hf1 0.3333 0.6667 0.4992 (multiplicity 1)
Al1 0.0087 0.5044 0.1873 (multiplicity 3)
Al2 0.3259 0.1629 0.6748 (multiplicity 3)
Al3 0.6667 0.3333 0.4320 (multiplicity 1)
Al4 0.6667 0.3333 0.9296 (multiplicity 1)

Values from the calculation:
The calculation puts the density of states at the Fermi level at 7.23 states/eV/f.u.


Q | The following is a PBE-GGA calculation of Dy3HfAl8 after structural relaxation, from Alexandria via LeMat-Bulk.

Cell lengths 5.4823, 5.4823, 26.9435 Å; angles 90.00, 90.00, 120.00 degrees
Space group R3m (No. 160, hexagonal axes)
Unique sites:
Dy1 0.0000 0.0000 0.0000 (multiplicity 3)
Dy2 0.0000 0.0000 0.1256 (multiplicity 3)
Dy3 0.0000 0.0000 0.6241 (multiplicity 3)
Hf1 0.0000 0.0000 0.5000 (multiplicity 3)
Al1 0.0000 0.0000 0.3123 (multiplicity 3)
Al2 0.0000 0.0000 0.8127 (multiplicity 3)
Al3 0.0016 0.5008 0.0643 (multiplicity 9)
Al4 0.1670 0.3340 0.8941 (multiplicity 9)

Values from the calculation:
The calculation puts the density of states at the Fermi level at 7.06 states/eV/f.u.


Quick one: most stable of them? Q


P | The following is a PBE-GGA calculation of DyHfAl2 after structural relaxation, from Alexandria via LeMat-Bulk.

Cell lengths 3.574, 3.574, 6.589 Å; angles 90.00, 90.00, 90.00 degrees
Space group P4/mmm (No. 123)
Unique sites:
Dy1 0.000 0.000 0.000 (multiplicity 1)
Hf1 0.000 0.000 0.500 (multiplicity 1)
Al1 0.500 0.500 0.284 (multiplicity 2)

Values from the calculation:
The calculation puts the density of states at the Fermi level at 3.74 states/eV/f.u.


Q | The following is a PBE-GGA calculation of DyHfAl2 after structural relaxation, from Alexandria via LeMat-Bulk.

Cell lengths 6.946, 6.946, 6.946 Å; angles 90.00, 90.00, 90.00 degrees
Space group Fm-3m (No. 225)
Unique sites:
Dy1 0.000 0.000 0.000 (multiplicity 4)
Hf1 0.000 0.000 0.500 (multiplicity 4)
Al1 0.250 0.250 0.250 (multiplicity 8)

Values from the calculation:
The calculation puts the density of states at the Fermi level at 3.25 states/eV/f.u.


Quick one: most stable of them? P


P | The following is a PBE-GGA calculation of DyHfAl2 after structural relaxation, from Alexandria via LeMat-Bulk.

Cell lengths 4.516, 4.516, 4.096 Å; angles 90.00, 90.00, 90.00 degrees
Space group P4/mmm (No. 123)
Unique sites:
Dy1 0.000 0.000 0.000 (multiplicity 1)
Hf1 0.500 0.500 0.000 (multiplicity 1)
Al1 0.000 0.500 0.500 (multiplicity 2)

Values from the calculation:
The calculation puts the density of states at the Fermi level at 3.04 states/eV/f.u.


Q | The following is a PBE-GGA calculation of DyHfAl2 after structural relaxation, from Alexandria via LeMat-Bulk.

Cell lengths 3.2948, 3.2948, 28.2667 Å; angles 90.00, 90.00, 120.00 degrees
Space group R-3m (No. 166, hexagonal axes)
Unique sites:
Dy1 0.0000 0.0000 0.0000 (multiplicity 3)
Hf1 0.0000 0.0000 0.5000 (multiplicity 3)
Al1 0.0000 0.0000 0.2453 (multiplicity 6)

Values from the calculation:
The calculation puts the density of states at the Fermi level at 4.38 states/eV/f.u.


Quick one: most stable of them? P